[1]
CaHgPt2: optimized geometry, GGA-PBE.

The formation enthalpy at 0 K comes out at -0.42 eV per atom. The total magnetization comes out at 0.00 μB/cell.

It has space group Cm (No. 8), with a = 10.607 Å, b = 3.147 Å, c = 4.899 Å, α = 90.00°, β = 106.85° and γ = 90.00°. Symmetry generates all atoms from Ca at (0.000, 0.000, 0.000), Hg at (0.290, 0.500, 0.350), Pt at (0.033, 0.500, 0.515) and Pt at (0.243, 0.000, 0.825).

[2]
SrLaPt2: optimized geometry, GGA-PBE.

The formation enthalpy at 0 K comes out at -0.82 eV per atom. The total magnetization comes out at 0.00 μB/cell. The energy relative to the lowest polymorph listed for this composition is 191 meV per atom.

It has space group Imm2 (No. 44), with a = 4.131 Å, b = 4.201 Å, c = 12.676 Å, α = 90.00°, β = 90.00° and γ = 90.00°. Symmetry generates all atoms from Sr at (0.000, 0.000, 0.000), La at (0.000, 0.500, 0.756), Pt at (0.000, 0.000, 0.586) and Pt at (0.000, 0.500, 0.248).

For reference, VASP energy by record: -16.08 -21.96 eV/f.u..